A plane-wave DFT calculation with PBE-GGA was carried out for Ti3HgC after structural relaxation.

a b c (Å): 15.8223 8.3384 8.3384
angles (deg): 114.08 142.18 37.82
With the nearest neighbours (Å) after each atom.
Positions (direct):
C  0.7500  0.4993  0.9993  6 Ti 2.07-2.10
Ti  0.4557  0.7204  0.7870  2 C 2.07-2.09
Ti  0.5771  0.9318  0.9221  1 C 2.10
Ti  0.9506  0.0494  0.1160  3 C 2.09-2.14
Hg  0.3138  0.8309  0.9552  6 Ti 2.87-3.03
Ti  0.9229  0.4221  0.4318  1 C 2.10
Ti  0.9557  0.7130  0.7796  2 C 2.07-2.09
C  0.2500  0.8343  0.3343  6 Ti 2.09-2.14
C  0.7500  0.1657  0.6657  6 Ti 2.09-2.14
Hg  0.6862  0.1691  0.0448  6 Ti 2.87-3.03
Ti  0.0443  0.2870  0.2204  2 C 2.07-2.09
Ti  0.5494  0.6160  0.5494  3 C 2.09-2.14
C  0.2500  0.5007  0.0007  6 Ti 2.07-2.10
Hg  0.8138  0.5448  0.6691  6 Ti 2.87-3.03
Ti  0.0771  0.5779  0.5682  1 C 2.10
Ti  0.4506  0.3840  0.4506  3 C 2.09-2.14
Hg  0.1862  0.4552  0.3309  6 Ti 2.87-3.03
Ti  0.0494  0.9506  0.8840  3 C 2.09-2.14
Ti  0.5443  0.2796  0.2130  2 C 2.07-2.09
Ti  0.4229  0.0682  0.0779  1 C 2.10

Properties
calculated formation energy = -0.326 eV per atom
E_tot = -0.2561 Ha/atom

---

A plane-wave DFT calculation with PBE-GGA was carried out for Ti4HgC after structural relaxation.

a b c (Å): 5.1304 5.8294 7.0952
angles (deg): 104.16 111.21 89.99
With the nearest neighbours (Å) after each atom.
Positions (direct):
Ti  0.2744  0.6615  0.3966  2 C 2.11-2.12
Ti  0.1221  0.1615  0.3966  2 C 2.11-2.12
C  0.5000  0.0000  0.5000  6 Ti 2.07-2.12
Hg  0.0876  0.2500  0.0000  10 Ti 2.93-3.08, 2 Hg 3.05
Ti  0.3224  0.5505  0.7883  1 C 2.07
Hg  0.9124  0.7500  0.0000  10 Ti 2.93-3.08, 2 Hg 3.05
C  0.0000  0.5000  0.5000  6 Ti 2.07-2.12
Ti  0.8779  0.8385  0.6034  2 C 2.11-2.12
Ti  0.5341  0.9496  0.2117  1 C 2.07
Ti  0.7256  0.3385  0.6034  2 C 2.11-2.12
Ti  0.6776  0.4495  0.2117  1 C 2.07
Ti  0.4659  0.0504  0.7883  1 C 2.07

Properties
calculated formation energy = -0.309 eV per atom
E_tot = -0.2631 Ha/atom

---

A plane-wave DFT calculation with PBE-GGA was carried out for Ti3HgC after structural relaxation.

a b c (Å): 6.9639 6.9639 4.0354
angles (deg): 90.00 90.00 111.28
With the nearest neighbours (Å) after each atom.
Positions (direct):
Hg  0.7731  0.2269  0.7500  1 C 2.26
C  0.4232  0.5768  0.2500  6 Ti 2.21-2.37, 1 Hg 2.26
C  0.5768  0.4232  0.7500  6 Ti 2.21-2.37, 1 Hg 2.26
Ti  0.5777  0.7406  0.7500  3 C 2.21-2.37
Ti  0.0000  0.0000  0.5000  2 Ti 2.02
Hg  0.2269  0.7731  0.2500  1 C 2.26
Ti  0.2594  0.4223  0.7500  3 C 2.21-2.37
Ti  0.4223  0.2594  0.2500  3 C 2.21-2.37
Ti  0.0000  0.0000  0.0000  2 Ti 2.02
Ti  0.7406  0.5777  0.2500  3 C 2.21-2.37

Properties
calculated formation energy = 0.519 eV per atom
E_tot = -0.2250 Ha/atom